(1)
The following is a DFT calculation (PBE) of a geometry-optimized RbTaAg2O structure.

The structure belongs to space group P4/mmm (No. 123); the cell edges are 5.641, 5.641 and 6.375 Å and the angles 90.00°, 90.00° and 90.00°. The asymmetric unit holds Rb at (0.000, 0.000, 0.000), Ta at (0.000, 0.000, 0.500), Ag at (0.000, 0.500, 0.000) and O at (0.500, 0.500, 0.500).

As for the magnetization: 4.1 Bohr magnetons per cell.

---

(2)
The following is a DFT calculation (PBE) of a geometry-optimized BeAsO2F structure.

The structure belongs to space group P4/mmm (No. 123); the cell edges are 3.682, 3.682 and 3.241 Å and the angles 90.00°, 90.00° and 90.00°. The asymmetric unit holds Be at (0.000, 0.000, 0.000), As at (0.500, 0.500, 0.500), O at (0.000, 0.500, 0.000) and F at (0.000, 0.000, 0.500).

As for the magnetization: 0.0 Bohr magnetons per cell.

---

Number 1: raw formation energy 13.4 eV/f.u.. Number 2: raw formation energy -6.6 eV/f.u..